[1]
Compound: TbDyTc
Source: Alexandria
Functional: PBE
Structure: optimized geometry

Properties
Energy of formation from the pure elements (eV/f.u.): 0.10
DOS at the Fermi energy (states/eV/f.u.): 3.44

Cell: 9.3687 9.3687 3.9958 Å, 90.00 90.00 152.68°
Closest atoms and distances in Å follow each position.
Atoms (fractional coordinates):
Tb (0.0845, 0.9155, 0.7500)  6 Tc 3.11
Tb (0.9155, 0.0845, 0.2500)  6 Tc 3.11
Dy (0.3025, 0.6975, 0.7500)  1 Tc 2.94
Dy (0.6975, 0.3025, 0.2500)  1 Tc 2.94
Tc (0.4641, 0.5359, 0.7500)  2 Tc 2.39
Tc (0.5359, 0.4641, 0.2500)  2 Tc 2.39

***

[2]
Compound: Ta3Co4
Source: Alexandria
Functional: PBE
Structure: optimized geometry

Properties
Energy of formation from the pure elements (eV/f.u.): 3.28
DOS at the Fermi energy (states/eV/f.u.): 7.97

Cell: 5.2473 5.2473 4.4479 Å, 90.00 90.00 120.00°
Closest atoms and distances in Å follow each position.
Atoms (fractional coordinates):
Ta (0.0000, 0.5000, 0.0000)  4 Ta 2.62, 8 Co 2.69-2.87
Ta (0.5000, 0.0000, 0.0000)  4 Ta 2.62, 8 Co 2.69-2.87
Ta (0.5000, 0.5000, 0.0000)  4 Ta 2.62, 8 Co 2.69-2.87
Co (0.0000, 0.0000, 0.2596)  2 Co 2.14-2.31
Co (0.0000, 0.0000, 0.7404)  2 Co 2.14-2.31
Co (0.3333, 0.6667, 0.5000)  6 Ta 2.69
Co (0.6667, 0.3333, 0.5000)  6 Ta 2.69

***

[3]
Compound: HoAl9Pd2
Source: Alexandria
Functional: PBE
Structure: optimized geometry

Properties
Energy of formation from the pure elements (eV/f.u.): -4.92
DOS at the Fermi energy (states/eV/f.u.): 3.11

Cell: 8.3706 8.3706 8.3706 Å, 100.61 100.61 129.18°
Closest atoms and distances in Å follow each position.
Atoms (fractional coordinates):
Ho (0.3750, 0.6250, 0.7500)  18 Al 3.34-3.59
Ho (0.6250, 0.3750, 0.2500)  18 Al 3.34-3.59
Al (0.1250, 0.8750, 0.2500)  4 Pd 2.82, 8 Al 2.89
Al (0.1308, 0.5573, 0.3298)  2 Pd 2.60-2.70, 6 Al 2.61-2.89
Al (0.1308, 0.8011, 0.5735)  2 Pd 2.60-2.70, 6 Al 2.61-2.89
Al (0.1989, 0.2725, 0.3298)  2 Pd 2.60-2.70, 6 Al 2.61-2.89
Al (0.1989, 0.8692, 0.9265)  2 Pd 2.60-2.70, 6 Al 2.61-2.89
Al (0.2725, 0.1989, 0.8298)  2 Pd 2.60-2.70, 6 Al 2.61-2.89
Al (0.2725, 0.4427, 0.0735)  2 Pd 2.60-2.70, 6 Al 2.61-2.89
Al (0.4427, 0.2725, 0.5735)  2 Pd 2.60-2.70, 6 Al 2.61-2.89
Al (0.4427, 0.8692, 0.1702)  2 Pd 2.60-2.70, 6 Al 2.61-2.89
Al (0.5573, 0.1308, 0.8298)  2 Pd 2.60-2.70, 6 Al 2.61-2.89
Al (0.5573, 0.7275, 0.4265)  2 Pd 2.60-2.70, 6 Al 2.61-2.89
Al (0.7275, 0.5573, 0.9265)  2 Pd 2.60-2.70, 6 Al 2.61-2.89
Al (0.7275, 0.8011, 0.1702)  2 Pd 2.60-2.70, 6 Al 2.61-2.89
Al (0.8011, 0.1308, 0.0735)  2 Pd 2.60-2.70, 6 Al 2.61-2.89
Al (0.8011, 0.7275, 0.6702)  2 Pd 2.60-2.70, 6 Al 2.61-2.89
Al (0.8692, 0.1989, 0.4265)  2 Pd 2.60-2.70, 6 Al 2.61-2.89
Al (0.8692, 0.4427, 0.6702)  2 Pd 2.60-2.70, 6 Al 2.61-2.89
Al (0.8750, 0.1250, 0.7500)  4 Pd 2.82, 8 Al 2.89
Pd (0.0000, 0.0000, 0.0000)  10 Al 2.60-2.82
Pd (0.0000, 0.0000, 0.5000)  10 Al 2.60-2.82
Pd (0.0000, 0.5000, 0.0000)  10 Al 2.60-2.82
Pd (0.5000, 0.0000, 0.5000)  10 Al 2.60-2.82